CaTa2Ag | GGA-PBE | optimized geometry

Cell lengths 2.958, 2.958, 9.731 Å; angles 90.00, 90.00, 104.47 degrees
Fractional coordinates of all 4 atoms:
Ag 0.000 0.000 0.482
Ta 0.500 0.500 0.247
Ta 0.000 0.000 0.029
Ca 0.500 0.500 0.742

Output
total DFT energy (no corrections) = -6.816 eV per atom
space group = No. 35
ΔH_f (0 K) = 0.323 eV/atom
polymorph energy (0 for the lowest one) = 0 meV per atom

---

CaTa2Ag | GGA-PBE | optimized geometry

Cell lengths 5.465, 2.975, 5.139 Å; angles 81.74, 90.00, 90.00 degrees
Fractional coordinates of all 4 atoms:
Ta 0.000 0.035 0.012
Ta 0.000 0.465 0.488
Ag 0.500 0.250 0.250
Ca 0.500 0.750 0.750

Output
total DFT energy (no corrections) = -6.635 eV per atom
space group = No. 10
ΔH_f (0 K) = 0.504 eV/atom
polymorph energy (0 for the lowest one) = 181 meV per atom